1.
Here is a relaxed Sr2RhCl crystal from Alexandria. Energies are from GGA-PBE.

**Uncorrected energy**: -62.16 eV per cell
**Energy above the lowest structure with this stoichiometry**: 0.238 eV per atom
**Theoretical density**: 3.48 g/cm³
**Formation energy from raw total energies**: -0.745 eV per atom

abc: 6.7119 6.7119 13.2843
angles: 90.00 90.00 90.00
Last column: nearest neighbours and their distance in Å.
Space group I-42d (No. 122)
One atom of each set of equivalent atoms:
Sr 0.2230 0.2500 0.1250 x8  2 Rh 2.80, 2 Cl 3.00
Rh 0.0000 0.0000 0.0000 x4  4 Sr 2.80
Cl 0.0000 0.0000 0.5000 x4  4 Sr 3.00

=====

2.
Here is a relaxed Al2O3 crystal from Alexandria. Energies are from GGA-PBE.

**Uncorrected energy**: -66.08 eV per cell
**Theoretical density**: 3.44 g/cm³
**Formation energy from raw total energies**: -2.136 eV per atom

abc: 4.6159 4.6159 4.6159
angles: 90.00 90.00 90.00
Last column: nearest neighbours and their distance in Å.
Space group Pn-3m (No. 224, origin choice 2)
One atom of each set of equivalent atoms:
Al 0.0000 0.0000 0.0000 x4  6 O 2.00
O 0.2500 0.2500 0.7500 x6  4 Al 2.00

=====

3.
Here is a relaxed GaNCl4 crystal from Alexandria. Energies are from GGA-PBE.

**Uncorrected energy**: -76.17 eV per cell
**Theoretical density**: 1.97 g/cm³
**Formation energy from raw total energies**: -0.050 eV per atom

abc: 11.2339 6.0383 11.1837
angles: 90.00 90.00 90.00
Last column: nearest neighbours and their distance in Å.
Space group Pnma (No. 62)
One atom of each set of equivalent atoms:
Ga 0.0730 0.2500 0.1588 x4  2 Cl 2.14
N 0.0296 0.2500 0.6909 x4  2 Cl 1.76
Cl 0.0623 0.5155 0.3219 x8  1 N 1.76
Cl 0.0908 0.7500 0.9387 x4  1 Ga 2.14
Cl 0.2478 0.2500 0.0828 x4  1 Ga 2.14

=====

4.
Here is a relaxed AcBe2H8Pd crystal from Alexandria. Energies are from GGA-PBE.

**Uncorrected energy**: -91.81 eV per cell
**Theoretical density**: 4.88 g/cm³

abc: 8.6850 4.3783 7.1259
angles: 90.00 115.53 90.00
Last column: nearest neighbours and their distance in Å.
Space group C2/m (No. 12)
One atom of each set of equivalent atoms:
Ac 0.0000 0.0000 0.0000 x2  10 H 2.39-2.62
Be 0.0870 0.5000 0.7251 x4  4 H 1.38-1.52
H 0.0453 0.2560 0.3436 x8  1 Be 1.49
H 0.1481 0.5000 0.9599 x4  1 Be 1.52
H 0.2343 0.5000 0.6960 x4  1 Be 1.38
Pd 0.0000 0.0000 0.5000 x2  4 H 1.74

=====

5.
Here is a relaxed HoTmMg2Au4 crystal from Alexandria. Energies are from GGA-PBE.

**Uncorrected energy**: -94.97 eV per cell
**Theoretical density**: 11.85 g/cm³
**Energy of formation**: -609 kJ/mol of formula units

abc: 4.8821 4.8821 23.8360
angles: 90.00 90.00 120.00
Last column: nearest neighbours and their distance in Å.
Space group R-3m (No. 166, hexagonal axes)
One atom of each set of equivalent atoms:
Ho 0.0000 0.0000 0.0000 x3  8 Au 2.99-3.01
Tm 0.0000 0.0000 0.5000 x3  8 Au 2.96-2.98
Mg 0.0000 0.0000 0.2498 x6  8 Au 2.95-3.00
Au 0.0000 0.0000 0.1262 x6  4 Mg 2.95-3.00, 3 Tm 2.98, 1 Ho 3.01
Au 0.0000 0.0000 0.3757 x6  1 Tm 2.96, 4 Mg 2.98-3.00, 3 Ho 2.99

=====

6.
Here is a relaxed CrRhSe2 crystal from Alexandria. Energies are from GGA-PBE.

**Uncorrected energy**: -50.48 eV per cell
**Energy above the lowest structure with this stoichiometry**: 0.000 eV per atom
**Theoretical density**: 5.69 g/cm³
**Formation energy from raw total energies**: -0.324 eV per atom

abc: 3.7782 3.8144 12.6743
angles: 90.00 90.00 90.00
Last column: nearest neighbours and their distance in Å.
Space group Immm (No. 71)
One atom of each set of equivalent atoms:
Cr 0.0000 0.0000 0.0000 x2  4 Se 2.53, 4 Rh 2.68
Rh 0.0000 0.0000 0.5000 x2  4 Se 2.52, 4 Cr 2.68
Se 0.0000 0.5000 0.1313 x4  2 Rh 2.52, 2 Cr 2.53

=====

7.
Here is a relaxed SmY2Au crystal from Alexandria. Energies are from GGA-PBE.

**Uncorrected energy**: -90.21 eV per cell
**Energy above the lowest structure with this stoichiometry**: 0.033 eV per atom
**Theoretical density**: 7.44 g/cm³
**Energy of formation**: -157 kJ/mol of formula units

abc: 5.0096 12.0826 7.7504
angles: 90.00 90.00 90.00
Last column: nearest neighbours and their distance in Å.
Space group Cmcm (No. 63)
One atom of each set of equivalent atoms:
Sm 0.0000 0.0454 0.2500 x4  1 Au 2.97
Y 0.0000 0.3545 0.0335 x8  3 Au 2.88-3.09
Au 0.0000 0.2008 0.7500 x4  6 Y 2.88-3.09, 1 Sm 2.97

=====

8.
Here is a relaxed MnCu2Sb crystal from Alexandria. Energies are from GGA-PBE.

**Uncorrected energy**: -20.61 eV per cell
**Theoretical density**: 7.64 g/cm³
**Formation energy from raw total energies**: 0.220 eV per atom

abc: 2.9694 4.3337 5.1993
angles: 90.00 99.22 90.00
Last column: nearest neighbours and their distance in Å.
Space group P2/m (No. 10)
One atom of each set of equivalent atoms:
Mn 0.0000 0.0000 0.0000 x1  4 Cu 2.61, 2 Sb 2.78
Cu 0.3905 0.5000 0.2095 x2  1 Cu 2.37, 2 Mn 2.61, 2 Sb 2.63
Sb 0.5000 0.0000 0.5000 x1  4 Cu 2.63, 2 Mn 2.78

=====

9.
Here is a relaxed FeNiAsSe crystal from Alexandria. Energies are from GGA-PBE.

**Uncorrected energy**: -22.52 eV per cell
**Energy above the lowest structure with this stoichiometry**: 0.134 eV per atom
**Theoretical density**: 7.28 g/cm³
**Formation energy from raw total energies**: -0.036 eV per atom

abc: 3.0373 3.9336 5.8698
angles: 73.04 75.29 67.55
Last column: nearest neighbours and their distance in Å.
Space group P1 (No. 1)
One atom of each set of equivalent atoms:
Fe 0.0000 0.0000 0.0000 x1  3 As 2.28-2.38, 2 Se 2.36-2.37
Ni 0.4478 0.7096 0.4007 x1  3 As 2.47-2.49, 3 Se 2.48-2.74, 2 Fe 2.75
As 0.2301 0.3706 0.1727 x1  3 Fe 2.28-2.38, 3 Ni 2.47-2.49
Se 0.6215 0.0767 0.6738 x1  2 Fe 2.36-2.37, 1 Ni 2.48

=====

10.
Here is a relaxed Sm3Al3Au crystal from Alexandria. Energies are from GGA-PBE.

**Uncorrected energy**: -129.44 eV per cell
**Theoretical density**: 6.97 g/cm³
**Energy of formation**: -357 kJ/mol of formula units

abc: 11.0198 4.5493 14.8160
angles: 90.00 110.67 90.00
Last column: nearest neighbours and their distance in Å.
Space group C2/m (No. 12)
One atom of each set of equivalent atoms:
Sm 0.0312 0.0000 0.3793 x4  7 Al 3.17-3.45, 4 Au 3.19-3.38
Sm 0.1039 0.0000 0.9230 x4  7 Al 3.19-3.25
Sm 0.2432 0.0000 0.2294 x4  6 Al 3.19-3.23, 2 Au 3.31
Al 0.0373 0.5000 0.2323 x4  1 Al 2.67, 1 Au 2.69
Al 0.1065 0.5000 0.0768 x4  2 Al 2.63-2.67
Al 0.1346 0.5000 0.5378 x4  3 Au 2.63-2.84, 1 Al 2.78
Au 0.2489 0.5000 0.3935 x4  4 Al 2.63-2.84

=====

11.
Here is a relaxed Ac12La6Nd crystal from Alexandria. Energies are from GGA-PBE.

**Uncorrected energy**: -242.84 eV per cell
**Theoretical density**: 7.38 g/cm³
**Energy of formation**: 259 kJ/mol of formula units

abc: 14.3683 14.3683 13.9754
angles: 90.00 90.00 120.00
Last column: nearest neighbours and their distance in Å.
Space group R-3m (No. 166, hexagonal axes)
One atom of each set of equivalent atoms:
Ac 0.0000 0.2617 0.0000 x18  4 La 3.72-3.83, 6 Ac 3.76-3.93, 1 Nd 3.76
Ac 0.0572 0.5286 0.1145 x18  5 Ac 3.50-3.85
La 0.0886 0.1772 0.7737 x18  4 Ac 3.72-3.83, 2 La 3.82, 1 Nd 3.86
Nd 0.0000 0.0000 0.0000 x3  6 Ac 3.76, 6 La 3.86

=====

12.
Here is a relaxed La2ScSnN crystal from Alexandria. Energies are from GGA-PBE.

**Uncorrected energy**: -33.54 eV per cell
**Theoretical density**: 6.28 g/cm³
**Formation energy from raw total energies**: -1.006 eV per atom

abc: 5.2067 5.2067 4.4440
angles: 90.00 90.00 90.00
Last column: nearest neighbours and their distance in Å.
Space group P4/mmm (No. 123)
One atom of each set of equivalent atoms:
La 0.0000 0.5000 0.0000 x2  2 N 2.60
Sc 0.0000 0.0000 0.5000 x1  2 N 2.22
Sn 0.5000 0.5000 0.5000 x1  8 La 3.42, 4 Sc 3.68
N 0.0000 0.0000 0.0000 x1  2 Sc 2.22

=====

Question: The lowest uncorrected energy belongs to which entry?
Answer: Ac12La6Nd

=====

Please write out number 3 again, unchanged.
Here is a relaxed GaNCl4 crystal from Alexandria. Energies are from GGA-PBE.

**Uncorrected energy**: -76.17 eV per cell
**Theoretical density**: 1.97 g/cm³
**Formation energy from raw total energies**: -0.050 eV per atom

abc: 11.2339 6.0383 11.1837
angles: 90.00 90.00 90.00
Last column: nearest neighbours and their distance in Å.
Space group Pnma (No. 62)
One atom of each set of equivalent atoms:
Ga 0.0730 0.2500 0.1588 x4  2 Cl 2.14
N 0.0296 0.2500 0.6909 x4  2 Cl 1.76
Cl 0.0623 0.5155 0.3219 x8  1 N 1.76
Cl 0.0908 0.7500 0.9387 x4  1 Ga 2.14
Cl 0.2478 0.2500 0.0828 x4  1 Ga 2.14

=====

Question: theoretical density of number 11 (Ac12La6Nd)?
Answer: 7.38 g/cm³